# 1
First-principles (PBE-GGA) data for a relaxed structure of Cu4RePb, as listed in Alexandria.

Results
Energy of formation = 559 meV per atom
Symmetry = F-43m
Volume = 14.4 A^3/atom
Uncorrected energy = -29.186 eV/cell

a = 4.9644 Å, b = 4.9644 Å, c = 4.9644 Å
α = 60.00°, β = 60.00°, γ = 60.00°
Last column: nearest neighbours and their distance in Å.
Atoms (fractional coordinates):
Cu1 0.3738 0.3738 0.8785  6 Cu 2.46-2.51
Re1 0.0000 0.0000 0.0000  12 Cu 2.91, 4 Pb 3.04
Pb1 0.7500 0.7500 0.7500  12 Cu 2.91, 4 Re 3.04
Cu2 0.3738 0.8785 0.3738  6 Cu 2.46-2.51
Cu3 0.8785 0.3738 0.3738  6 Cu 2.46-2.51
Cu4 0.3738 0.3738 0.3738  6 Cu 2.46-2.51


# 2
First-principles (PBE-GGA) data for a relaxed structure of Cu2RePb, as listed in Alexandria.

Results
Energy of formation = 717 meV per atom
Energy above the most stable polymorph in this dataset = 148.2 meV/atom
Symmetry = I-4m2
Volume = 15.9 A^3/atom
Uncorrected energy = -21.480 eV/cell

a = 5.0883 Å, b = 5.0883 Å, c = 5.0883 Å
α = 135.64°, β = 135.64°, γ = 64.53°
Last column: nearest neighbours and their distance in Å.
Atoms (fractional coordinates):
Cu1 0.2500 0.7500 0.5000  4 Re 2.72, 4 Cu 2.88, 4 Pb 2.88
Pb1 0.5000 0.5000 0.0000  8 Cu 2.72-2.88, 4 Re 2.88
Cu2 0.0000 0.0000 0.0000  4 Pb 2.72, 4 Cu 2.88, 4 Re 2.88
Re1 0.7500 0.2500 0.5000  8 Cu 2.72-2.88, 4 Pb 2.88


# 3
First-principles (PBE-GGA) data for a relaxed structure of Cu2RePb, as listed in Alexandria.

Results
Energy of formation = 830 meV per atom
Energy above the most stable polymorph in this dataset = 261.0 meV/atom
Symmetry = F-43m
Volume = 16.2 A^3/atom
Uncorrected energy = -21.029 eV/cell

a = 4.5119 Å, b = 4.5119 Å, c = 4.5119 Å
α = 60.00°, β = 60.00°, γ = 60.00°
Last column: nearest neighbours and their distance in Å.
Atoms (fractional coordinates):
Cu1 0.2500 0.2500 0.2500  4 Cu 2.76, 4 Pb 2.76
Pb1 0.5000 0.5000 0.5000  4 Cu 2.76, 4 Re 2.76
Cu2 0.0000 0.0000 0.0000  4 Re 2.76, 4 Cu 2.76
Re1 0.7500 0.7500 0.7500  4 Pb 2.76, 4 Cu 2.76